No. 1
Here is a relaxed YSnBrCl2 crystal from Alexandria. Energies are from PBE.

## Properties
ΔE_f (raw) ... -617 meV per atom
Size of the total moment ... 0.00 Bohr magnetons per cell

Cell lengths 5.210, 6.241, 5.210 Å; angles 90.00, 90.00, 90.00 degrees
Sites, in units of the cell vectors:
Cl  0.500  0.000  0.000
Cl  0.000  0.000  0.500
Y  0.000  0.500  0.000
Br  0.500  0.500  0.500
Sn  0.000  0.000  0.000

No. 2
Here is a relaxed RbYFe3 crystal from Alexandria. Energies are from PBE.

## Properties
Formation energy ... 2085 meV/atom
Excess energy over the best structure of this formula in the dataset ... 2.484 eV/f.u.
Size of the total moment ... 7.64 Bohr magnetons per cell

Cell lengths 4.821, 4.821, 4.821 Å; angles 90.00, 90.00, 90.00 degrees
Each line ends with the local moment (μB).
Sites, in units of the cell vectors:
Fe  0.000  0.000  0.500  2.54
Fe  0.500  0.000  0.000  2.81
Fe  0.000  0.500  0.000  2.82
Rb  0.000  0.000  0.000  0.02
Y  0.500  0.500  0.500  -0.23

No. 3
Here is a relaxed SrMnAs crystal from Alexandria. Energies are from PBE.

## Properties
Formation energy ... -548 meV/atom
Size of the total moment ... 3.79 Bohr magnetons per cell

Cell lengths 3.917, 3.917, 9.424 Å; angles 90.00, 90.00, 90.00 degrees
Each line ends with the local moment (μB).
Sites, in units of the cell vectors:
Sr  0.000  0.500  0.806  -0.01
Sr  0.500  0.000  0.194  -0.01
Mn  0.000  0.000  0.500  1.99
Mn  0.500  0.500  0.500  1.99
As  0.000  0.500  0.345  -0.08
As  0.500  0.000  0.655  -0.08

No. 4
Here is a relaxed Ni2SnH crystal from Alexandria. Energies are from PBE.

## Properties
Excess energy over the best structure of this formula in the dataset ... 0.801 eV/f.u.
Size of the total moment ... 0.00 Bohr magnetons per cell

Cell lengths 4.479, 4.479, 3.963 Å; angles 55.59, 55.59, 60.00 degrees
Sites, in units of the cell vectors:
Ni  0.172  0.172  0.485
Ni  0.828  0.828  0.515
H  0.000  0.000  0.000
Sn  0.500  0.500  0.500

No. 5
Here is a relaxed CsBeTl3 crystal from Alexandria. Energies are from PBE.

## Properties
Formation energy ... 261 meV/atom
Excess energy over the best structure of this formula in the dataset ... 0.000 eV/f.u.
Size of the total moment ... 0.00 Bohr magnetons per cell

Cell lengths 5.423, 5.423, 5.423 Å; angles 90.00, 90.00, 90.00 degrees
Sites, in units of the cell vectors:
Be  0.000  0.000  0.000
Cs  0.500  0.500  0.500
Tl  0.000  0.500  0.000
Tl  0.000  0.000  0.500
Tl  0.500  0.000  0.000

No. 6
Here is a relaxed Pm6PrTl2 crystal from Alexandria. Energies are from PBE.

## Properties
Formation energy ... -148 meV/atom
Excess energy over the best structure of this formula in the dataset ... 0.000 eV/f.u.
Size of the total moment ... 0.00 Bohr magnetons per cell

Cell lengths 3.853, 6.881, 12.079 Å; angles 74.49, 80.82, 73.74 degrees
Sites, in units of the cell vectors:
Pm  0.688  0.497  0.126
Pm  0.990  0.676  0.343
Pm  0.309  0.798  0.584
Pm  0.691  0.202  0.416
Pm  0.010  0.324  0.657
Pm  0.312  0.503  0.874
Pr  0.000  0.000  0.000
Tl  0.360  0.068  0.213
Tl  0.640  0.932  0.787

No. 7
Here is a relaxed CaSe crystal from Alexandria. Energies are from PBE.

## Properties
ΔE_f (raw) ... -2030 meV per atom
Size of the total moment ... 0.00 Bohr magnetons per cell

Cell lengths 4.216, 4.216, 4.216 Å; angles 60.00, 60.00, 60.00 degrees
Sites, in units of the cell vectors:
Se  0.000  0.000  0.000
Ca  0.500  0.500  0.500

No. 8
Here is a relaxed NiOs crystal from Alexandria. Energies are from PBE.

## Properties
Formation energy ... 85 meV/atom
Size of the total moment ... 0.00 Bohr magnetons per cell

Cell lengths 3.685, 4.544, 3.685 Å; angles 66.09, 90.01, 113.91 degrees
Sites, in units of the cell vectors:
Ni  0.000  0.000  0.000
Ni  0.250  0.500  0.250
Os  0.500  0.000  0.500
Os  0.750  0.500  0.750

No. 9
Here is a relaxed TmPtAu crystal from Alexandria. Energies are from PBE.

## Properties
Formation energy ... -836 meV/atom
Excess energy over the best structure of this formula in the dataset ... 0.471 eV/f.u.
Size of the total moment ... 0.00 Bohr magnetons per cell

Cell lengths 3.293, 4.638, 4.638 Å; angles 120.00, 90.00, 90.00 degrees
Sites, in units of the cell vectors:
Pt  0.167  0.333  0.667
Tm  0.667  0.667  0.333
Au  0.167  0.000  0.000

No. 10
Here is a relaxed KSrS2N crystal from Alexandria. Energies are from PBE.

## Properties
ΔE_f (raw) ... 131 meV per atom
Excess energy over the best structure of this formula in the dataset ... 0.000 eV/f.u.
Size of the total moment ... 4.02 Bohr magnetons per cell

Cell lengths 5.737, 5.737, 5.102 Å; angles 90.00, 90.00, 90.00 degrees
Each line ends with the local moment (μB).
Sites, in units of the cell vectors:
Sr  0.000  0.000  0.000  0.01
S  0.500  0.000  0.000  0.51
S  0.000  0.500  0.000  0.51
K  0.500  0.500  0.500  0.00
N  0.000  0.000  0.500  1.49

No. 11
Here is a relaxed Ce2ZrScSb4 crystal from Alexandria. Energies are from PBE.

## Properties
ΔE_f (raw) ... -913 meV per atom
Size of the total moment ... 1.71 Bohr magnetons per cell

Cell lengths 4.316, 7.489, 7.470 Å; angles 109.46, 90.00, 90.00 degrees
Each line ends with the local moment (μB).
Sites, in units of the cell vectors:
Sb  0.000  0.742  0.228  -0.01
Sb  0.500  0.757  0.771  -0.01
Sb  0.500  0.243  0.229  -0.01
Sb  0.000  0.258  0.772  -0.01
Ce  0.500  0.000  0.500  0.76
Ce  0.000  0.500  0.500  0.73
Sc  0.500  0.500  0.000  0.01
Zr  0.000  0.000  0.000  0.05

No. 12
Here is a relaxed TbP2Pd7Pb2 crystal from Alexandria. Energies are from PBE.

## Properties
Formation energy ... -494 meV/atom
Size of the total moment ... 0.00 Bohr magnetons per cell

Cell lengths 4.133, 4.133, 13.575 Å; angles 83.80, 83.80, 89.61 degrees
Sites, in units of the cell vectors:
Pd  0.558  0.059  0.842
Pd  0.392  0.392  0.418
Pd  0.941  0.442  0.158
Pd  0.500  0.500  0.000
Pd  0.059  0.558  0.842
Pd  0.608  0.608  0.582
Pd  0.442  0.941  0.158
P  0.412  0.412  0.246
P  0.588  0.588  0.754
Pb  0.896  0.896  0.380
Pb  0.104  0.104  0.620
Tb  0.000  0.000  0.000

No. 13
Here is a relaxed SmHo3Hg crystal from Alexandria. Energies are from PBE.

## Properties
Formation energy ... -111 meV/atom
Size of the total moment ... 0.00 Bohr magnetons per cell

Cell lengths 6.697, 6.697, 8.729 Å; angles 87.77, 119.96, 113.55 degrees
Sites, in units of the cell vectors:
Sm  0.322  0.940  0.263
Sm  0.678  0.060  0.737
Ho  0.769  0.590  0.859
Ho  0.231  0.410  0.141
Ho  0.730  0.909  0.141
Ho  0.818  0.439  0.257
Ho  0.182  0.561  0.743
Ho  0.270  0.091  0.859
Hg  0.241  0.259  0.500
Hg  0.759  0.741  0.500

No. 14
Here is a relaxed Sr2SiPN crystal from Alexandria. Energies are from PBE.

## Properties
ΔE_f (raw) ... 436 meV per atom
Size of the total moment ... 0.97 Bohr magnetons per cell

Cell lengths 5.714, 4.324, 5.714 Å; angles 90.00, 90.00, 90.00 degrees
Each line ends with the local moment (μB).
Sites, in units of the cell vectors:
N  0.500  0.500  0.500  0.78
Sr  0.500  0.000  0.000  -0.02
Sr  0.000  0.000  0.500  -0.02
Si  0.000  0.500  0.000  0.03
P  0.000  0.000  0.000  -0.04

No. 15
Here is a relaxed Mn2CoOs crystal from Alexandria. Energies are from PBE.

## Properties
Formation energy ... 101 meV/atom
Size of the total moment ... 0.98 Bohr magnetons per cell

Cell lengths 2.600, 2.600, 7.162 Å; angles 90.00, 90.00, 90.00 degrees
Each line ends with the local moment (μB).
Sites, in units of the cell vectors:
Co  0.500  0.500  0.755  0.34
Os  0.000  0.000  0.505  0.23
Mn  0.000  0.000  0.999  2.15
Mn  0.500  0.500  0.242  -1.75

No. 16
Here is a relaxed Ba2Ga2PbS6 crystal from Alexandria. Energies are from PBE.

## Properties
ΔE_f (raw) ... -1045 meV per atom
Size of the total moment ... 0.00 Bohr magnetons per cell

Cell lengths 7.158, 7.158, 8.779 Å; angles 65.94, 65.94, 60.00 degrees
Sites, in units of the cell vectors:
S  0.252  0.252  0.715
S  0.780  0.252  0.715
S  0.748  0.220  0.285
S  0.252  0.780  0.715
S  0.748  0.748  0.285
S  0.220  0.748  0.285
Ba  0.792  0.792  0.624
Ba  0.208  0.208  0.376
Ga  0.427  0.427  0.718
Ga  0.573  0.573  0.282
Pb  0.000  0.000  0.000

No. 17
Here is a relaxed Ac5LaS8 crystal from Alexandria. Energies are from PBE.

## Properties
ΔE_f (raw) ... -2111 meV per atom
Size of the total moment ... 0.00 Bohr magnetons per cell

Cell lengths 7.786, 7.786, 7.786 Å; angles 109.42, 109.57, 109.42 degrees
Sites, in units of the cell vectors:
Ac  0.748  0.622  0.626
Ac  0.003  0.378  0.126
Ac  0.374  0.122  0.997
Ac  0.874  0.878  0.252
Ac  0.500  0.000  0.500
S  0.128  0.748  0.024
S  0.124  0.748  0.527
S  0.976  0.104  0.724
S  0.473  0.597  0.221
S  0.779  0.252  0.376
S  0.624  0.403  0.876
S  0.620  0.896  0.872
S  0.276  0.252  0.380
La  0.250  0.500  0.750

No. 18
Here is a relaxed BiRuCN2 crystal from Alexandria. Energies are from PBE.

## Properties
ΔE_f (raw) ... 3393 meV per atom
Size of the total moment ... 3.09 Bohr magnetons per cell

Cell lengths 4.211, 5.538, 4.211 Å; angles 90.00, 90.00, 90.00 degrees
Each line ends with the local moment (μB).
Sites, in units of the cell vectors:
C  0.500  0.500  0.500  -0.52
N  0.000  0.000  0.500  0.66
N  0.500  0.000  0.000  0.75
Bi  0.000  0.000  0.000  -0.12
Ru  0.000  0.500  0.000  2.09

No. 19
Here is a relaxed Ca4AcZn5 crystal from Alexandria. Energies are from PBE.

## Properties
Formation energy ... -231 meV/atom
Size of the total moment ... 0.00 Bohr magnetons per cell

Cell lengths 3.756, 3.756, 18.430 Å; angles 90.00, 90.00, 90.00 degrees
Sites, in units of the cell vectors:
Zn  0.500  0.500  0.695
Zn  0.500  0.500  0.305
Zn  0.500  0.500  0.500
Zn  0.500  0.500  0.889
Zn  0.500  0.500  0.111
Ac  0.000  0.000  0.000
Ca  0.000  0.000  0.208
Ca  0.000  0.000  0.598
Ca  0.000  0.000  0.792
Ca  0.000  0.000  0.402

No. 20
Here is a relaxed BaGa3Os crystal from Alexandria. Energies are from PBE.

## Properties
Formation energy ... -256 meV/atom
Excess energy over the best structure of this formula in the dataset ... 0.709 eV/f.u.
Size of the total moment ... 0.00 Bohr magnetons per cell

Cell lengths 7.839, 7.856, 4.167 Å; angles 89.99, 90.00, 119.93 degrees
Sites, in units of the cell vectors:
Os  0.264  0.054  0.638
Os  0.892  0.054  0.638
Ga  0.278  0.846  0.138
Ga  0.078  0.054  0.138
Ga  0.486  0.263  0.138
Ga  0.669  0.846  0.138
Ga  0.578  0.054  0.638
Ga  0.877  0.262  0.138
Ba  0.842  0.582  0.638
Ba  0.314  0.526  0.639

no.,DFT total energy (eV for the cell shown)
1,-18.92
2,-22.39
3,-34.29
4,-18.32
5,-10.37
6,-39.35
7,-9.55
8,-33.68
9,-16.30
10,-18.70
11,-50.54
12,-65.14
13,-38.62
14,-20.34
15,-36.27
16,-49.86
17,-88.05
18,-22.07
19,-20.79
20,-47.03